The following is a SCAN calculation of RbTeAu at its PBEsol-relaxed geometry, from the Alexandria database.

Summary:
DOS at the Fermi energy	0.17	states/eV/f.u.
formation energy (no corrections)	-0.820	eV/atom
size of the total moment	0.00	μB per cell

Cell: 4.679 4.679 10.364 Å, 90.00 90.00 120.00°
Positions (direct):
Rb 0.000 0.000 0.000
Rb 0.000 0.000 0.500
Te 0.333 0.667 0.250
Te 0.667 0.333 0.750
Au 0.333 0.667 0.750
Au 0.667 0.333 0.250